Entry from OQMD via LeMat-Bulk: CuBiWAu after structural relaxation (PBE).

Cell lengths 4.7023, 4.7023, 4.7023 Å; angles 60.00, 60.00, 60.00 degrees
Closest atoms and distances in Å follow each position.
Atoms (fractional coordinates):
Au: 0.5000 0.5000 0.5000  4 Cu 2.88, 4 W 2.88
Bi: 0.0000 0.0000 0.0000  4 Cu 2.88, 4 W 2.88
Cu: 0.7500 0.7500 0.7500  4 Au 2.88, 4 Bi 2.88
W: 0.2500 0.2500 0.2500  4 Bi 2.88, 4 Au 2.88

- ρ (g/cm³) = 14.76
- DFT total energy (eV per atom) = -5.2408

***

Entry from OQMD via LeMat-Bulk: CuBiWAu after structural relaxation (PBE).

Cell lengths 4.7820, 4.7820, 4.7820 Å; angles 60.00, 60.00, 60.00 degrees
Closest atoms and distances in Å follow each position.
Atoms (fractional coordinates):
Au: 0.7500 0.7500 0.7500  4 Bi 2.93, 4 W 2.93
Bi: 0.0000 0.0000 0.0000  4 Au 2.93, 4 Cu 2.93
Cu: 0.2500 0.2500 0.2500  4 W 2.93, 4 Bi 2.93
W: 0.5000 0.5000 0.5000  4 Au 2.93, 4 Cu 2.93

- ρ (g/cm³) = 14.03
- DFT total energy (eV per atom) = -5.0627

***

Entry from OQMD via LeMat-Bulk: ZnCuBiAu after structural relaxation (PBE).

Cell lengths 4.7570, 4.7570, 4.7570 Å; angles 60.00, 60.00, 60.00 degrees
Closest atoms and distances in Å follow each position.
Atoms (fractional coordinates):
Au: 0.5000 0.5000 0.5000  4 Zn 2.91, 4 Cu 2.91
Bi: 0.0000 0.0000 0.0000  4 Cu 2.91, 4 Zn 2.91
Cu: 0.7500 0.7500 0.7500  4 Au 2.91, 4 Bi 2.91
Zn: 0.2500 0.2500 0.2500  4 Au 2.91, 4 Bi 2.91

- ρ (g/cm³) = 11.67
- DFT total energy (eV per atom) = -2.8998

***

Q: Which of these has the highest DFT total energy?
A: ZnCuBiAu

***

Q: Among the records above, which one has the highest DFT total energy?
A: ZnCuBiAu